Model one:
VASP calculation (GGA-PBE) on BaCaNi after structural relaxation.

**Space-group type**: No. 160
**Total magnetization**: 0.00 μB per formula unit

```
data_BaCaNi
_chemical_formula_sum 'Ba1 Ca1 Ni1'
_symmetry_space_group_name_H-M 'P 1'
_symmetry_Int_Tables_number 1
_cell_length_a 7.184
_cell_length_b 7.184
_cell_length_c 7.184
_cell_angle_alpha 35.04
_cell_angle_beta 35.04
_cell_angle_gamma 35.04
loop_
_symmetry_equiv_pos_as_xyz
'x,y,z'
loop_
_atom_site_label
_atom_site_fract_x
_atom_site_fract_y
_atom_site_fract_z
Ba1 0.000 0.000 0.000
Ca1 0.488 0.488 0.488
Ni1 0.754 0.754 0.754
```



Model two:
VASP calculation (GGA-PBE) on BaCaNi after structural relaxation.

**Space-group type**: No. 2
**Total magnetization**: 0.00 μB per formula unit

```
data_BaCaNi
_chemical_formula_sum 'Ba2 Ca2 Ni2'
_symmetry_space_group_name_H-M 'P 1'
_symmetry_Int_Tables_number 1
_cell_length_a 4.257
_cell_length_b 5.996
_cell_length_c 8.399
_cell_angle_alpha 80.17
_cell_angle_beta 89.75
_cell_angle_gamma 90.00
loop_
_symmetry_equiv_pos_as_xyz
'x,y,z'
loop_
_atom_site_label
_atom_site_fract_x
_atom_site_fract_y
_atom_site_fract_z
Ba1 0.248 0.294 0.321
Ba2 0.752 0.706 0.679
Ca1 0.251 0.174 0.864
Ca2 0.749 0.826 0.136
Ni1 0.250 0.608 0.972
Ni2 0.750 0.392 0.028
```



Model three:
VASP calculation (GGA-PBE) on BaCaNi after structural relaxation.

**Space-group type**: No. 14
**Total magnetization**: 0.00 μB per formula unit

```
data_BaCaNi
_chemical_formula_sum 'Ba4 Ca4 Ni4'
_symmetry_space_group_name_H-M 'P 1'
_symmetry_Int_Tables_number 1
_cell_length_a 7.297
_cell_length_b 8.524
_cell_length_c 7.499
_cell_angle_alpha 90.00
_cell_angle_beta 110.84
_cell_angle_gamma 90.00
loop_
_symmetry_equiv_pos_as_xyz
'x,y,z'
loop_
_atom_site_label
_atom_site_fract_x
_atom_site_fract_y
_atom_site_fract_z
Ba1 0.249 0.125 0.013
Ba2 0.249 0.375 0.513
Ba3 0.751 0.625 0.487
Ba4 0.751 0.875 0.987
Ca1 0.216 0.624 0.983
Ca2 0.216 0.876 0.483
Ca3 0.784 0.124 0.517
Ca4 0.784 0.376 0.017
Ni1 0.012 0.625 0.241
Ni2 0.012 0.875 0.741
Ni3 0.988 0.125 0.259
Ni4 0.988 0.375 0.759
```



Model four:
VASP calculation (GGA-PBE) on BaCaNi after structural relaxation.

**Space-group type**: No. 1
**Total magnetization**: 0.00 μB per formula unit

```
data_BaCaNi
_chemical_formula_sum 'Ba2 Ca2 Ni2'
_symmetry_space_group_name_H-M 'P 1'
_symmetry_Int_Tables_number 1
_cell_length_a 4.165
_cell_length_b 6.676
_cell_length_c 8.047
_cell_angle_alpha 80.32
_cell_angle_beta 75.16
_cell_angle_gamma 89.98
loop_
_symmetry_equiv_pos_as_xyz
'x,y,z'
loop_
_atom_site_label
_atom_site_fract_x
_atom_site_fract_y
_atom_site_fract_z
Ba1 0.000 0.000 0.000
Ba2 0.240 0.894 0.514
Ca1 0.566 0.503 0.864
Ca2 0.810 0.416 0.370
Ni1 0.168 0.338 0.655
Ni2 0.648 0.159 0.697
```



Last place for stability: model one



Model one:
VASP calculation (GGA-PBE) on BaCaNi3 after structural relaxation.

**Space-group type**: No. 221
**Total magnetization**: 0.00 μB per formula unit

```
data_BaCaNi3
_chemical_formula_sum 'Ba1 Ca1 Ni3'
_symmetry_space_group_name_H-M 'P 1'
_symmetry_Int_Tables_number 1
_cell_length_a 4.990
_cell_length_b 4.990
_cell_length_c 4.990
_cell_angle_alpha 90.00
_cell_angle_beta 90.00
_cell_angle_gamma 90.00
loop_
_symmetry_equiv_pos_as_xyz
'x,y,z'
loop_
_atom_site_label
_atom_site_fract_x
_atom_site_fract_y
_atom_site_fract_z
Ba1 0.000 0.000 0.000
Ca1 0.500 0.500 0.500
Ni1 0.000 0.500 0.500
Ni2 0.500 0.000 0.500
Ni3 0.500 0.500 0.000
```



Model two:
VASP calculation (GGA-PBE) on BaCaNi3 after structural relaxation.

**Space-group type**: No. 221
**Total magnetization**: 0.00 μB per formula unit

```
data_BaCaNi3
_chemical_formula_sum 'Ba1 Ca1 Ni3'
_symmetry_space_group_name_H-M 'P 1'
_symmetry_Int_Tables_number 1
_cell_length_a 5.059
_cell_length_b 5.059
_cell_length_c 5.059
_cell_angle_alpha 90.00
_cell_angle_beta 90.00
_cell_angle_gamma 90.00
loop_
_symmetry_equiv_pos_as_xyz
'x,y,z'
loop_
_atom_site_label
_atom_site_fract_x
_atom_site_fract_y
_atom_site_fract_z
Ba1 0.000 0.000 0.000
Ca1 0.500 0.500 0.500
Ni1 0.000 0.000 0.500
Ni2 0.000 0.500 0.000
Ni3 0.500 0.000 0.000
```



Last place for stability: model two



Model one:
VASP calculation (GGA-PBE) on BaSr2CaNi after structural relaxation.

**Space-group type**: No. 123
**Total magnetization**: 0.00 μB per formula unit

```
data_BaSr2CaNi
_chemical_formula_sum 'Ba1 Sr2 Ca1 Ni1'
_symmetry_space_group_name_H-M 'P 1'
_symmetry_Int_Tables_number 1
_cell_length_a 6.019
_cell_length_b 6.019
_cell_length_c 5.803
_cell_angle_alpha 90.00
_cell_angle_beta 90.00
_cell_angle_gamma 90.00
loop_
_symmetry_equiv_pos_as_xyz
'x,y,z'
loop_
_atom_site_label
_atom_site_fract_x
_atom_site_fract_y
_atom_site_fract_z
Ba1 0.000 0.000 0.000
Sr1 0.000 0.500 0.500
Sr2 0.500 0.000 0.500
Ca1 0.500 0.500 0.000
Ni1 0.500 0.500 0.500
```



Model two:
VASP calculation (GGA-PBE) on BaSr2CaNi after structural relaxation.

**Space-group type**: No. 123
**Total magnetization**: 0.00 μB per formula unit

```
data_BaSr2CaNi
_chemical_formula_sum 'Ba1 Sr2 Ca1 Ni1'
_symmetry_space_group_name_H-M 'P 1'
_symmetry_Int_Tables_number 1
_cell_length_a 5.984
_cell_length_b 5.984
_cell_length_c 6.103
_cell_angle_alpha 90.00
_cell_angle_beta 90.00
_cell_angle_gamma 90.00
loop_
_symmetry_equiv_pos_as_xyz
'x,y,z'
loop_
_atom_site_label
_atom_site_fract_x
_atom_site_fract_y
_atom_site_fract_z
Ba1 0.000 0.000 0.000
Sr1 0.000 0.500 0.500
Sr2 0.500 0.000 0.500
Ca1 0.500 0.500 0.000
Ni1 0.000 0.000 0.500
```



Last place for stability: model two



Model one:
VASP calculation (GGA-PBE) on BaCa2TlNi after structural relaxation.

**Space-group type**: No. 123
**Total magnetization**: 0.00 μB per formula unit

```
data_BaCa2TlNi
_chemical_formula_sum 'Ba1 Ca2 Tl1 Ni1'
_symmetry_space_group_name_H-M 'P 1'
_symmetry_Int_Tables_number 1
_cell_length_a 5.521
_cell_length_b 5.521
_cell_length_c 5.249
_cell_angle_alpha 90.00
_cell_angle_beta 90.00
_cell_angle_gamma 90.00
loop_
_symmetry_equiv_pos_as_xyz
'x,y,z'
loop_
_atom_site_label
_atom_site_fract_x
_atom_site_fract_y
_atom_site_fract_z
Ba1 0.000 0.000 0.000
Ca1 0.000 0.500 0.500
Ca2 0.500 0.000 0.500
Tl1 0.500 0.500 0.000
Ni1 0.500 0.500 0.500
```



Model two:
VASP calculation (GGA-PBE) on BaCa2TlNi after structural relaxation.

**Space-group type**: No. 123
**Total magnetization**: 0.00 μB per formula unit

```
data_BaCa2TlNi
_chemical_formula_sum 'Ba1 Ca2 Tl1 Ni1'
_symmetry_space_group_name_H-M 'P 1'
_symmetry_Int_Tables_number 1
_cell_length_a 5.513
_cell_length_b 5.513
_cell_length_c 5.864
_cell_angle_alpha 90.00
_cell_angle_beta 90.00
_cell_angle_gamma 90.00
loop_
_symmetry_equiv_pos_as_xyz
'x,y,z'
loop_
_atom_site_label
_atom_site_fract_x
_atom_site_fract_y
_atom_site_fract_z
Ba1 0.000 0.000 0.000
Ca1 0.000 0.500 0.500
Ca2 0.500 0.000 0.500
Tl1 0.500 0.500 0.000
Ni1 0.000 0.000 0.500
```



Last place for stability: model two



Model one:
VASP calculation (GGA-PBE) on Ba2CaTlNi after structural relaxation.

**Space-group type**: No. 123
**Total magnetization**: 0.00 μB per formula unit

```
data_Ba2CaTlNi
_chemical_formula_sum 'Ba2 Ca1 Tl1 Ni1'
_symmetry_space_group_name_H-M 'P 1'
_symmetry_Int_Tables_number 1
_cell_length_a 5.990
_cell_length_b 5.990
_cell_length_c 5.472
_cell_angle_alpha 90.00
_cell_angle_beta 90.00
_cell_angle_gamma 90.00
loop_
_symmetry_equiv_pos_as_xyz
'x,y,z'
loop_
_atom_site_label
_atom_site_fract_x
_atom_site_fract_y
_atom_site_fract_z
Ba1 0.000 0.500 0.000
Ba2 0.500 0.000 0.000
Ca1 0.000 0.000 0.500
Tl1 0.500 0.500 0.500
Ni1 0.000 0.000 0.000
```



Model two:
VASP calculation (GGA-PBE) on Ba2CaTlNi after structural relaxation.

**Space-group type**: No. 123
**Total magnetization**: 0.00 μB per formula unit

```
data_Ba2CaTlNi
_chemical_formula_sum 'Ba2 Ca1 Tl1 Ni1'
_symmetry_space_group_name_H-M 'P 1'
_symmetry_Int_Tables_number 1
_cell_length_a 6.088
_cell_length_b 6.088
_cell_length_c 5.183
_cell_angle_alpha 90.00
_cell_angle_beta 90.00
_cell_angle_gamma 90.00
loop_
_symmetry_equiv_pos_as_xyz
'x,y,z'
loop_
_atom_site_label
_atom_site_fract_x
_atom_site_fract_y
_atom_site_fract_z
Ba1 0.000 0.500 0.000
Ba2 0.500 0.000 0.000
Ca1 0.000 0.000 0.500
Tl1 0.500 0.500 0.500
Ni1 0.500 0.500 0.000
```



Last place for stability: model two



Model one:
VASP calculation (GGA-PBE) on BaCaO after structural relaxation.

**Space-group type**: No. 14
**Total magnetization**: 0.00 μB per formula unit

```
data_BaCaO
_chemical_formula_sum 'Ba4 Ca4 O4'
_symmetry_space_group_name_H-M 'P 1'
_symmetry_Int_Tables_number 1
_cell_length_a 8.702
_cell_length_b 6.638
_cell_length_c 7.344
_cell_angle_alpha 90.00
_cell_angle_beta 113.98
_cell_angle_gamma 90.00
loop_
_symmetry_equiv_pos_as_xyz
'x,y,z'
loop_
_atom_site_label
_atom_site_fract_x
_atom_site_fract_y
_atom_site_fract_z
Ba1 0.146 0.185 0.355
Ba2 0.146 0.315 0.855
Ba3 0.854 0.685 0.145
Ba4 0.854 0.815 0.645
Ca1 0.423 0.660 0.613
Ca2 0.423 0.840 0.113
Ca3 0.577 0.160 0.887
Ca4 0.577 0.340 0.387
O1 0.431 0.184 0.092
O2 0.431 0.316 0.592
O3 0.569 0.684 0.408
O4 0.569 0.816 0.908
```



Model two:
VASP calculation (GGA-PBE) on BaCaO after structural relaxation.

**Space-group type**: No. 156
**Total magnetization**: 0.00 μB per formula unit

```
data_BaCaO
_chemical_formula_sum 'Ba1 Ca1 O1'
_symmetry_space_group_name_H-M 'P 1'
_symmetry_Int_Tables_number 1
_cell_length_a 3.708
_cell_length_b 3.708
_cell_length_c 6.977
_cell_angle_alpha 90.00
_cell_angle_beta 90.00
_cell_angle_gamma 120.00
loop_
_symmetry_equiv_pos_as_xyz
'x,y,z'
loop_
_atom_site_label
_atom_site_fract_x
_atom_site_fract_y
_atom_site_fract_z
Ba1 0.000 0.000 0.000
Ca1 0.333 0.667 0.429
O1 0.667 0.333 0.284
```



Last place for stability: model two



Model one:
VASP calculation (GGA-PBE) on BaCa3O after structural relaxation.

**Space-group type**: No. 221
**Total magnetization**: 4.44 μB per formula unit

```
data_BaCa3O
_chemical_formula_sum 'Ba1 Ca3 O1'
_symmetry_space_group_name_H-M 'P 1'
_symmetry_Int_Tables_number 1
_cell_length_a 6.299
_cell_length_b 6.299
_cell_length_c 6.299
_cell_angle_alpha 90.00
_cell_angle_beta 90.00
_cell_angle_gamma 90.00
loop_
_symmetry_equiv_pos_as_xyz
'x,y,z'
loop_
_atom_site_label
_atom_site_fract_x
_atom_site_fract_y
_atom_site_fract_z
Ba1 0.000 0.000 0.000
Ca1 0.000 0.000 0.500
Ca2 0.000 0.500 0.000
Ca3 0.500 0.000 0.000
O1 0.500 0.500 0.500
```



Model two:
VASP calculation (GGA-PBE) on BaCa3O after structural relaxation.

**Space-group type**: No. 221
**Total magnetization**: 0.00 μB per formula unit

```
data_BaCa3O
_chemical_formula_sum 'Ba1 Ca3 O1'
_symmetry_space_group_name_H-M 'P 1'
_symmetry_Int_Tables_number 1
_cell_length_a 5.365
_cell_length_b 5.365
_cell_length_c 5.365
_cell_angle_alpha 90.00
_cell_angle_beta 90.00
_cell_angle_gamma 90.00
loop_
_symmetry_equiv_pos_as_xyz
'x,y,z'
loop_
_atom_site_label
_atom_site_fract_x
_atom_site_fract_y
_atom_site_fract_z
Ba1 0.000 0.000 0.000
Ca1 0.000 0.500 0.500
Ca2 0.500 0.000 0.500
Ca3 0.500 0.500 0.000
O1 0.500 0.500 0.500
```



Last place for stability: model one



Model one:
VASP calculation (GGA-PBE) on Rb2Ba8CaSb6O2 after structural relaxation.

**Space-group type**: No. 42
**Total magnetization**: 0.00 μB per formula unit

```
data_Rb2Ba8CaSb6O2
_chemical_formula_sum 'Rb2 Ba8 Ca1 Sb6 O2'
_symmetry_space_group_name_H-M 'P 1'
_symmetry_Int_Tables_number 1
_cell_length_a 10.710
_cell_length_b 9.407
_cell_length_c 10.932
_cell_angle_alpha 63.03
_cell_angle_beta 51.51
_cell_angle_gamma 65.46
loop_
_symmetry_equiv_pos_as_xyz
'x,y,z'
loop_
_atom_site_label
_atom_site_fract_x
_atom_site_fract_y
_atom_site_fract_z
Rb1 0.238 0.762 0.762
Rb2 0.762 0.238 0.238
Ba1 0.051 0.441 0.248
Ba2 0.227 0.632 0.368
Ba3 0.269 0.997 0.003
Ba4 0.441 0.051 0.260
Ba5 0.632 0.227 0.773
Ba6 0.740 0.752 0.559
Ba7 0.752 0.740 0.949
Ba8 0.997 0.269 0.731
Ca1 0.408 0.408 0.592
Sb1 0.007 0.007 0.493
Sb2 0.096 0.411 0.904
Sb3 0.411 0.096 0.589
Sb4 0.507 0.507 0.993
Sb5 0.639 0.639 0.361
Sb6 0.864 0.864 0.136
O1 0.508 0.999 0.001
O2 0.999 0.508 0.492
```



Model two:
VASP calculation (GGA-PBE) on Rb2Ba8CaSb6O2 after structural relaxation.

**Space-group type**: No. 8
**Total magnetization**: 0.00 μB per formula unit

```
data_Rb2Ba8CaSb6O2
_chemical_formula_sum 'Rb2 Ba8 Ca1 Sb6 O2'
_symmetry_space_group_name_H-M 'P 1'
_symmetry_Int_Tables_number 1
_cell_length_a 9.685
_cell_length_b 9.685
_cell_length_c 10.390
_cell_angle_alpha 117.38
_cell_angle_beta 117.38
_cell_angle_gamma 80.13
loop_
_symmetry_equiv_pos_as_xyz
'x,y,z'
loop_
_atom_site_label
_atom_site_fract_x
_atom_site_fract_y
_atom_site_fract_z
Rb1 0.237 0.763 0.000
Rb2 0.763 0.237 0.000
Ba1 0.017 0.340 0.756
Ba2 0.034 0.034 0.309
Ba3 0.210 0.521 0.290
Ba4 0.340 0.017 0.756
Ba5 0.443 0.443 0.707
Ba6 0.521 0.210 0.290
Ba7 0.684 0.684 0.251
Ba8 0.685 0.685 0.649
Ca1 0.942 0.942 0.648
Sb1 0.002 0.547 0.527
Sb2 0.126 0.126 0.019
Sb3 0.406 0.406 0.019
Sb4 0.547 0.002 0.527
Sb5 0.638 0.869 0.014
Sb6 0.869 0.638 0.014
O1 0.053 0.053 0.573
O2 0.473 0.473 0.491
```



Model three:
VASP calculation (GGA-PBE) on Rb2Ba8CaSb6O2 after structural relaxation.

**Space-group type**: No. 5
**Total magnetization**: 0.00 μB per formula unit

```
data_Rb2Ba8CaSb6O2
_chemical_formula_sum 'Rb2 Ba8 Ca1 Sb6 O2'
_symmetry_space_group_name_H-M 'P 1'
_symmetry_Int_Tables_number 1
_cell_length_a 10.469
_cell_length_b 10.469
_cell_length_c 9.262
_cell_angle_alpha 113.72
_cell_angle_beta 113.72
_cell_angle_gamma 105.65
loop_
_symmetry_equiv_pos_as_xyz
'x,y,z'
loop_
_atom_site_label
_atom_site_fract_x
_atom_site_fract_y
_atom_site_fract_z
Rb1 0.000 0.000 0.000
Rb2 0.593 0.407 0.000
Ba1 0.097 0.217 0.788
Ba2 0.098 0.587 0.213
Ba3 0.347 0.421 0.553
Ba4 0.413 0.902 0.787
Ba5 0.579 0.653 0.447
Ba6 0.615 0.139 0.546
Ba7 0.783 0.903 0.212
Ba8 0.861 0.385 0.454
Ca1 0.179 0.821 0.000
Sb1 0.204 0.008 0.473
Sb2 0.362 0.638 0.000
Sb3 0.414 0.205 0.186
Sb4 0.795 0.586 0.814
Sb5 0.808 0.192 0.000
Sb6 0.992 0.796 0.527
O1 0.359 0.641 0.500
O2 0.845 0.155 0.500
```



Last place for stability: model one